DFT (PBE-GGA) results for a relaxed CaTi3Ir crystal.

a b c (Å): 4.867 4.867 4.867
angles (deg): 90.00 90.00 90.00
Space group Pm-3m (No. 221)
One atom of each set of equivalent atoms:
Ca 0.000 0.000 0.000 [1 per cell]
Ti 0.000 0.500 0.500 [3 per cell]
Ir 0.500 0.500 0.500 [1 per cell]

Summary:
For the polymorph energy (0 for the lowest one), the calculation gives 0.0 kJ per mole of atoms. The density of states at the Fermi level comes out at 1.577 states/eV per atom. As for the energy of formation from the pure elements: 14 kJ per mole of atoms.

DFT (PBE-GGA) results for a relaxed Ac3Nd2Sm crystal.

a b c (Å): 9.165 3.912 13.416
angles (deg): 90.00 90.36 90.00
Space group P2_1/m (No. 11)
One atom of each set of equivalent atoms:
Ac 0.090 0.250 0.390 [2 per cell]
Ac 0.335 0.750 0.945 [2 per cell]
Ac 0.399 0.750 0.251 [2 per cell]
Nd 0.075 0.250 0.111 [2 per cell]
Nd 0.356 0.750 0.550 [2 per cell]
Sm 0.188 0.250 0.741 [2 per cell]

Summary:
For the polymorph energy (0 for the lowest one), the calculation gives 0.0 kJ per mole of atoms. The density of states at the Fermi level comes out at 1.543 states/eV per atom. As for the energy of formation from the pure elements: 5 kJ per mole of atoms.

DFT (PBE-GGA) results for a relaxed NdCuAg4 crystal.

a b c (Å): 7.855 7.855 7.855
angles (deg): 90.00 90.00 90.00
Space group F-43m (No. 216)
One atom of each set of equivalent atoms:
Nd 0.000 0.000 0.000 [4 per cell]
Cu 0.250 0.250 0.250 [4 per cell]
Ag 0.124 0.124 0.624 [16 per cell]

Summary:
The density of states at the Fermi level comes out at 1.120 states/eV per atom. As for the energy of formation from the pure elements: -2 kJ per mole of atoms.

DFT (PBE-GGA) results for a relaxed Tl3Hg3Bi crystal.

a b c (Å): 8.363 8.363 8.363
angles (deg): 90.00 90.00 90.00
Space group Pm-3n (No. 223)
One atom of each set of equivalent atoms:
Tl 0.000 0.250 0.500 [6 per cell]
Hg 0.000 0.500 0.250 [6 per cell]
Bi 0.000 0.000 0.000 [2 per cell]

Summary:
For the polymorph energy (0 for the lowest one), the calculation gives 39.3 kJ per mole of atoms. The density of states at the Fermi level comes out at 0.603 states/eV per atom. As for the energy of formation from the pure elements: 39 kJ per mole of atoms.

DFT (PBE-GGA) results for a relaxed Ca5Hg2Pb5 crystal.

a b c (Å): 17.048 4.975 10.643
angles (deg): 90.00 127.21 90.00
Space group C2/m (No. 12)
One atom of each set of equivalent atoms:
Ca 0.000 0.000 0.000 [2 per cell]
Ca 0.117 0.000 0.427 [4 per cell]
Ca 0.169 0.000 0.837 [4 per cell]
Hg 0.152 0.500 0.251 [4 per cell]
Pb 0.000 0.500 0.500 [2 per cell]
Pb 0.056 0.500 0.856 [4 per cell]
Pb 0.244 0.500 0.732 [4 per cell]

Summary:
The density of states at the Fermi level comes out at 0.454 states/eV per atom. As for the energy of formation from the pure elements: -42 kJ per mole of atoms.

DFT (PBE-GGA) results for a relaxed Y5Rh2Au2 crystal.

a b c (Å): 15.390 7.439 7.592
angles (deg): 90.00 90.00 90.00
Space group Cmce (No. 64)
One atom of each set of equivalent atoms:
Y 0.000 0.000 0.000 [4 per cell]
Y 0.131 0.172 0.329 [16 per cell]
Rh 0.000 0.130 0.632 [8 per cell]
Au 0.208 0.000 0.000 [8 per cell]

Summary:
The density of states at the Fermi level comes out at 0.829 states/eV per atom. As for the energy of formation from the pure elements: -76 kJ per mole of atoms.